1.
VASP calculation (PBE-GGA) on a relaxed CsLaAgTe3 crystal.

M_tot ... 0.015 μB/cell
Uncorrected energy ... -3.972 eV per atom

Lattice parameters (Å, degrees): 11.7059 5.0772 14.7126 90.00 90.00 90.00
Positions (direct):
Ag 0.2954 0.2500 0.2314
Ag 0.7954 0.2500 0.2686
Ag 0.2046 0.7500 0.7314
Ag 0.7046 0.7500 0.7686
Cs 0.1540 0.7500 0.0191
Cs 0.6540 0.7500 0.4809
Cs 0.3460 0.2500 0.5191
Cs 0.8460 0.2500 0.9809
La 0.5137 0.7500 0.1571
La 0.0137 0.7500 0.3429
La 0.9863 0.2500 0.6571
La 0.4863 0.2500 0.8429
Te 0.3895 0.2500 0.0535
Te 0.7940 0.7500 0.1895
Te 0.0488 0.2500 0.2037
Te 0.5488 0.2500 0.2963
Te 0.2940 0.7500 0.3105
Te 0.8895 0.2500 0.4465
Te 0.1105 0.7500 0.5535
Te 0.7060 0.2500 0.6895
Te 0.4512 0.7500 0.7037
Te 0.9512 0.7500 0.7963
Te 0.2060 0.2500 0.8105
Te 0.6105 0.7500 0.9465

***

2.
VASP calculation (PBE-GGA) on a relaxed SrTePdO crystal.

Energy above the most stable polymorph in this dataset ... 199 meV/atom

Lattice parameters (Å, degrees): 4.2804 4.2804 9.6945 90.00 90.00 90.00
Positions (direct):
O 0.2500 0.2500 0.1019
O 0.7500 0.7500 0.8981
Pd 0.2500 0.2500 0.3225
Pd 0.7500 0.7500 0.6775
Sr 0.7500 0.7500 0.1340
Sr 0.2500 0.2500 0.8660
Te 0.7500 0.2500 0.5000
Te 0.2500 0.7500 0.5000

***

3.
VASP calculation (PBE-GGA) on a relaxed NaCuGeTe3 crystal.

Energy above the most stable polymorph in this dataset ... 0 meV/atom

Lattice parameters (Å, degrees): 8.2429 3.9817 10.2816 90.00 105.20 90.00
Positions (direct):
Cu 0.0557 0.2500 0.0808
Cu 0.9443 0.7500 0.9192
Ge 0.3204 0.7500 0.3597
Ge 0.6796 0.2500 0.6403
Na 0.7540 0.7500 0.1922
Na 0.2460 0.2500 0.8078
Te 0.2588 0.7500 0.0608
Te 0.0683 0.2500 0.3403
Te 0.5739 0.2500 0.3577
Te 0.4261 0.7500 0.6423
Te 0.9317 0.7500 0.6597
Te 0.7412 0.2500 0.9392

***

4.
VASP calculation (PBE-GGA) on a relaxed Ga2Co7 crystal.

M_tot ... 11.306 μB/cell
Uncorrected energy ... -6.098 eV per atom

Lattice parameters (Å, degrees): 2.5506 2.5506 26.5116 90.00 90.00 120.00
Site moments in Bohr magnetons follow the coordinates.
Positions (direct):
Co 0.0000 0.0000 0.2757  1.48
Co 0.6667 0.3333 0.3496  1.71
Co 0.3333 0.6667 0.4251  1.67
Co 0.0000 0.0000 0.5000  1.68
Co 0.6667 0.3333 0.5749  1.67
Co 0.3333 0.6667 0.6504  1.71
Co 0.0000 0.0000 0.7243  1.48
Ga 0.3333 0.6667 0.1938  0.02
Ga 0.6667 0.3333 0.8062  0.02

***

5.
VASP calculation (PBE-GGA) on a relaxed TaO2 crystal.

M_tot ... 0.018 μB/cell
Uncorrected energy ... -9.437 eV per atom

Lattice parameters (Å, degrees): 5.0690 5.0690 7.4213 90.00 90.00 120.00
Positions (direct):
O 0.3444 0.1722 0.1667
O 0.6556 0.8278 0.1667
O 0.1722 0.3444 0.5000
O 0.8278 0.6556 0.5000
O 0.8278 0.1722 0.8333
O 0.1722 0.8278 0.8333
Ta 0.5000 0.0000 0.0000
Ta 0.5000 0.5000 0.3333
Ta 0.0000 0.5000 0.6667

***

6.
VASP calculation (PBE-GGA) on a relaxed NdUBi crystal.

M_tot ... 5.550 μB/cell
Uncorrected energy ... -6.008 eV per atom

Lattice parameters (Å, degrees): 5.3274 5.3274 5.3274 60.00 60.00 60.00
Positions (direct):
Bi 0.2500 0.2500 0.2500
Nd 0.7500 0.7500 0.7500
U 0.0000 0.0000 0.0000

***

7.
VASP calculation (PBE-GGA) on a relaxed Dy2Y3Tm2Cu2Te2 crystal.

M_tot ... 0.119 μB/cell
Uncorrected energy ... -5.252 eV per atom

Lattice parameters (Å, degrees): 9.3216 9.3216 9.3216 155.46 67.47 118.26
Positions (direct):
Cu 0.6704 0.4077 0.2626
Cu 0.1451 0.4077 0.7374
Dy 0.2648 0.8939 0.3709
Dy 0.5229 0.8939 0.6291
Te 0.2416 0.2416 0.0000
Te 0.6426 0.1426 0.5000
Tm 0.2840 0.0987 0.1853
Tm 0.9134 0.0987 0.8147
Y 0.8841 0.7404 0.1437
Y 0.9806 0.4806 0.5000
Y 0.5967 0.7404 0.8563

***

8.
VASP calculation (PBE-GGA) on a relaxed NaSrBiPt crystal.

Energy above the most stable polymorph in this dataset ... 0 meV/atom
M_tot ... 0.000 μB/cell

Lattice parameters (Å, degrees): 5.1547 5.1547 5.1547 60.00 60.00 60.00
Positions (direct):
Bi 0.5000 0.5000 0.5000
Na 0.7500 0.7500 0.7500
Pt 0.2500 0.2500 0.2500
Sr 0.0000 0.0000 0.0000

***

9.
VASP calculation (PBE-GGA) on a relaxed YGe2IrPt crystal.

Energy above the most stable polymorph in this dataset ... 0 meV/atom
M_tot ... 0.003 μB/cell

Lattice parameters (Å, degrees): 4.1973 4.1973 10.4303 90.00 90.00 90.00
Positions (direct):
Ge 0.5000 0.0000 0.1289
Ge 0.0000 0.0000 0.5000
Ge 0.5000 0.5000 0.5000
Ge 0.0000 0.5000 0.8711
Ir 0.0000 0.0000 0.0000
Ir 0.5000 0.5000 0.0000
Pt 0.5000 0.0000 0.3628
Pt 0.0000 0.5000 0.6372
Y 0.0000 0.5000 0.2461
Y 0.5000 0.0000 0.7539

***

10.
VASP calculation (PBE-GGA) on a relaxed Mg2Ir crystal.

M_tot ... 0.034 μB/cell
Uncorrected energy ... -4.147 eV per atom

Lattice parameters (Å, degrees): 12.5475 7.5514 4.6952 90.00 90.00 64.30
Positions (direct):
Ir 0.7454 0.2441 0.0000
Ir 0.3276 0.3392 0.0000
Ir 0.8356 0.8293 0.0000
Ir 0.0000 0.9956 0.0000
Ir 0.8669 0.0219 0.5000
Ir 0.4491 0.1169 0.5000
Ir 0.1944 0.3654 0.5000
Ir 0.3589 0.5318 0.5000
Mg 0.5876 0.0830 0.0000
Mg 0.1624 0.1832 0.0000
Mg 0.9102 0.4076 0.0000
Mg 0.4914 0.4919 0.0000
Mg 0.0822 0.5864 0.0000
Mg 0.6792 0.6525 0.0000
Mg 0.2499 0.7404 0.0000
Mg 0.4184 0.9543 0.0000
Mg 0.0321 0.1779 0.5000
Mg 0.6068 0.2781 0.5000
Mg 0.7760 0.4069 0.5000
Mg 0.9446 0.6206 0.5000
Mg 0.5152 0.7086 0.5000
Mg 0.1123 0.7746 0.5000
Mg 0.7030 0.8692 0.5000
Mg 0.2843 0.9535 0.5000

***

11.
VASP calculation (PBE-GGA) on a relaxed YBe2Ir2 crystal.

M_tot ... 0.001 μB/cell
Uncorrected energy ... -6.914 eV per atom

Lattice parameters (Å, degrees): 5.5787 5.5787 5.5787 138.30 138.30 60.44
Positions (direct):
Be 0.7500 0.2500 0.5000
Be 0.2500 0.7500 0.5000
Ir 0.3665 0.3665 0.0000
Ir 0.6335 0.6335 0.0000
Y 0.0000 0.0000 0.0000

***

12.
VASP calculation (PBE-GGA) on a relaxed RbAg7S4 crystal.

Uncorrected energy ... -3.328 eV per atom

Lattice parameters (Å, degrees): 11.1622 11.1622 8.5296 90.00 90.00 90.00
Positions (direct):
Ag 0.2500 0.2500 0.0000
Ag 0.7500 0.2500 0.0000
Ag 0.2500 0.7500 0.0000
Ag 0.7500 0.7500 0.0000
Ag 0.1370 0.0194 0.1224
Ag 0.5194 0.3630 0.1224
Ag 0.4806 0.6370 0.1224
Ag 0.8630 0.9806 0.1224
Ag 0.2279 0.2123 0.3387
Ag 0.7123 0.2721 0.3387
Ag 0.2877 0.7279 0.3387
Ag 0.7721 0.7877 0.3387
Ag 0.9594 0.1421 0.3846
Ag 0.3579 0.4594 0.3846
Ag 0.6421 0.5406 0.3846
Ag 0.0406 0.8579 0.3846
Ag 0.1421 0.0406 0.6154
Ag 0.5406 0.3579 0.6154
Ag 0.4594 0.6421 0.6154
Ag 0.8579 0.9594 0.6154
Ag 0.7877 0.2279 0.6613
Ag 0.2721 0.2877 0.6613
Ag 0.7279 0.7123 0.6613
Ag 0.2123 0.7721 0.6613
Ag 0.9806 0.1370 0.8776
Ag 0.3630 0.4806 0.8776
Ag 0.6370 0.5194 0.8776
Ag 0.0194 0.8630 0.8776
Rb 0.5000 0.0000 0.1239
Rb 0.0000 0.5000 0.3770
Rb 0.5000 0.0000 0.6230
Rb 0.0000 0.5000 0.8761
S 0.0574 0.2441 0.1333
S 0.7441 0.4426 0.1333
S 0.2559 0.5574 0.1333
S 0.9426 0.7559 0.1333
S 0.7511 0.0530 0.3741
S 0.4470 0.2511 0.3741
S 0.5530 0.7489 0.3741
S 0.2489 0.9470 0.3741
S 0.0530 0.2489 0.6259
S 0.7489 0.4470 0.6259
S 0.2511 0.5530 0.6259
S 0.9470 0.7511 0.6259
S 0.7559 0.0574 0.8667
S 0.4426 0.2559 0.8667
S 0.5574 0.7441 0.8667
S 0.2441 0.9426 0.8667

***

13.
VASP calculation (PBE-GGA) on a relaxed ReC2 crystal.

Energy above the most stable polymorph in this dataset ... 28 meV/atom
M_tot ... 0.001 μB/cell

Lattice parameters (Å, degrees): 2.8713 2.8713 4.0673 90.00 90.00 120.00
Positions (direct):
C 0.3333 0.6667 0.3296
C 0.3333 0.6667 0.6704
Re 0.0000 0.0000 0.0000

***

14.
VASP calculation (PBE-GGA) on a relaxed NdHo2Al3Si2Pt crystal.

M_tot ... 0.011 μB/cell
Uncorrected energy ... -5.525 eV per atom

Lattice parameters (Å, degrees): 4.2528 6.9633 6.9633 120.14 90.00 90.00
Positions (direct):
Al 0.5000 0.9976 0.2353
Al 0.5000 0.7651 0.7651
Al 0.5000 0.2353 0.9976
Ho 0.0000 0.5848 0.0024
Ho 0.0000 0.0024 0.5848
Nd 0.0000 0.4191 0.4191
Pt 0.0000 0.9901 0.9901
Si 0.5000 0.6745 0.3312
Si 0.5000 0.3312 0.6745

***

15.
VASP calculation (PBE-GGA) on a relaxed BaFeAgTe3 crystal.

Energy above the most stable polymorph in this dataset ... 0 meV/atom
M_tot ... 6.082 μB/cell

Lattice parameters (Å, degrees): 8.1753 4.3903 10.0708 90.00 108.13 90.00
Site moments in Bohr magnetons follow the coordinates.
Positions (direct):
Ag 0.4214 0.7500 0.4021  0.03
Ag 0.5786 0.2500 0.5979  0.03
Ba 0.7276 0.2500 0.2689  0.03
Ba 0.2724 0.7500 0.7311  0.03
Fe 0.1865 0.2500 0.1595  2.80
Fe 0.8135 0.7500 0.8405  2.80
Te 0.3837 0.7500 0.1149  -0.02
Te 0.9595 0.7500 0.1247  -0.01
Te 0.2117 0.2500 0.4379  0.04
Te 0.7883 0.7500 0.5621  0.04
Te 0.0405 0.2500 0.8753  -0.01
Te 0.6163 0.2500 0.8851  -0.02

***

16.
VASP calculation (PBE-GGA) on a relaxed CdCuReSb crystal.

Energy above the most stable polymorph in this dataset ... 0 meV/atom
M_tot ... 0.007 μB/cell

Lattice parameters (Å, degrees): 4.6137 4.6137 4.6137 60.00 60.00 60.00
Positions (direct):
Cd 0.5000 0.5000 0.5000
Cu 0.7500 0.7500 0.7500
Re 0.2500 0.2500 0.2500
Sb 0.0000 0.0000 0.0000

***

17.
VASP calculation (PBE-GGA) on a relaxed LiHfHg crystal.

Energy above the most stable polymorph in this dataset ... 0 meV/atom
M_tot ... 0.003 μB/cell

Lattice parameters (Å, degrees): 3.2738 3.2738 10.8181 90.00 90.00 90.00
Positions (direct):
Hf 0.0000 0.5000 0.0916
Hf 0.5000 0.0000 0.9084
Hg 0.5000 0.0000 0.2851
Hg 0.0000 0.5000 0.7149
Li 0.0000 0.5000 0.4233
Li 0.5000 0.0000 0.5767

***

18.
VASP calculation (PBE-GGA) on a relaxed ZnHg2Au crystal.

E_form ... 143 meV per atom

Lattice parameters (Å, degrees): 4.8690 4.8690 4.8690 60.00 60.00 60.00
Positions (direct):
Au 0.7500 0.7500 0.7500
Hg 0.0000 0.0000 0.0000
Hg 0.2500 0.2500 0.2500
Zn 0.5000 0.5000 0.5000

***

19.
VASP calculation (PBE-GGA) on a relaxed DyTm2Mg3Pt2Au crystal.

M_tot ... 0.013 μB/cell
Uncorrected energy ... -4.607 eV per atom

Lattice parameters (Å, degrees): 4.0283 7.4265 7.4265 120.20 90.00 90.00
Positions (direct):
Au 0.0000 0.9977 0.9977
Dy 0.0000 0.4165 0.4165
Mg 0.5000 0.9991 0.2521
Mg 0.5000 0.7483 0.7483
Mg 0.5000 0.2521 0.9991
Pt 0.5000 0.6697 0.3324
Pt 0.5000 0.3324 0.6697
Tm 0.0000 0.9998 0.5844
Tm 0.0000 0.5844 0.9998

***

20.
VASP calculation (PBE-GGA) on a relaxed Ac2Sm2O5 crystal.

Energy above the most stable polymorph in this dataset ... 562 meV/atom
M_tot ... 0.025 μB/cell

Lattice parameters (Å, degrees): 8.1664 4.4952 4.4952 90.00 90.00 90.00
Positions (direct):
Ac 0.2254 0.5000 0.5000
Ac 0.7746 0.5000 0.5000
O 0.3011 0.5000 0.0000
O 0.6989 0.5000 0.0000
O 0.3011 0.0000 0.5000
O 0.6989 0.0000 0.5000
O 0.5000 0.5000 0.5000
Sm 0.0000 0.0000 0.0000
Sm 0.5000 0.0000 0.0000